Entry 1:
DyTh5Bi6 | PBE-GGA | relaxed

Output
The formation energy comes out at -605 meV per atom. The total magnetic moment comes out at 0.000 μB/atom. The total energy is -6.021 eV per atom.

Cell and atoms, written as POSCAR:
```
DyTh5Bi6
1.0
7.9295 0.2179 0.0000
2.4417 7.5418 0.0000
1.2209 3.7709 6.8685
Dy Th Bi
1 5 6
direct
0.0000 0.0000 0.0000 Dy
0.5000 0.1702 0.6596 Th
0.0000 0.3348 0.3304 Th
0.5000 0.5000 0.0000 Th
0.0000 0.6652 0.6696 Th
0.5000 0.8298 0.3404 Th
0.7554 0.0808 0.3273 Bi
0.2446 0.5920 0.3273 Bi
0.2498 0.2429 0.0000 Bi
0.7502 0.7571 0.0000 Bi
0.7554 0.4080 0.6727 Bi
0.2446 0.9192 0.6727 Bi
```


Entry 2:
CrRhCl2 | PBE-GGA | relaxed

Output
For the energy relative to the lowest polymorph listed for this composition, the calculation gives 86.7 kJ per mole of atoms. The value obtained for the formation energy (no corrections) is 2.70 eV/f.u. The total magnetic moment comes out at 0.000 μB/atom. The total energy is -4.491 eV per atom.

Cell and atoms, written as POSCAR:
```
CrRhCl2
1.0
0.0000 3.0653 3.0653
3.0653 0.0000 3.0653
3.0653 3.0653 0.0000
Cr Rh Cl
1 1 2
direct
0.0000 0.0000 0.0000 Cr
0.5000 0.5000 0.5000 Rh
0.2500 0.2500 0.2500 Cl
0.7500 0.7500 0.7500 Cl
```


Entry 3:
TaMnRe2 | PBE-GGA | relaxed

Output
The formation energy comes out at 24 meV per atom. The total magnetic moment comes out at 0.000 μB/atom. The total energy is -11.456 eV per atom.

Cell and atoms, written as POSCAR:
```
TaMnRe2
1.0
-1.0314 -1.7530 -1.8122
-0.3973 -1.8205 1.9871
-7.2923 2.9776 1.2701
Mn Re Ta
1 2 1
direct
0.5000 0.5000 0.7500 Mn
0.0000 0.0000 0.9652 Re
0.0000 0.0000 0.5348 Re
0.5000 0.5000 0.2500 Ta
```


Entry 4:
Ca2Ac3Zn3 | PBE-GGA | relaxed

Output
The formation energy comes out at -157 meV per atom. The total magnetic moment comes out at 0.000 μB/atom. The total energy is -2.676 eV per atom.

Cell and atoms, written as POSCAR:
```
Ca2Ac3Zn3
1.0
3.8517 0.0000 -0.6203
-0.2134 5.5110 -1.3252
-0.0065 0.0214 12.2282
Ca Ac Zn
2 3 3
direct
0.2766 0.7766 0.5532 Ca
0.7234 0.2234 0.4468 Ca
0.3846 0.3846 0.7693 Ac
0.6154 0.6154 0.2307 Ac
0.5000 0.0000 0.0000 Ac
0.8840 0.8840 0.7680 Zn
0.0000 0.5000 0.0000 Zn
0.1160 0.1160 0.2320 Zn
```


Entry 5:
UZnSb2 | PBE-GGA | relaxed

Output
The value obtained for the formation energy (no corrections) is -0.78 eV/f.u. The total magnetic moment comes out at 0.383 μB/atom. The total energy is -5.396 eV per atom.

Cell and atoms, written as POSCAR:
```
UZnSb2
1.0
4.0709 0.0000 0.0000
0.0000 4.7370 0.0000
0.0000 0.0000 4.7370
Sb Zn U
2 1 1
direct
0.0000 0.0000 0.5000 Sb
0.0000 0.5000 0.0000 Sb
0.5000 0.0000 0.0000 Zn
0.5000 0.5000 0.5000 U
```


Entry 6:
CrCdPt | PBE-GGA | relaxed

Output
For the energy relative to the lowest polymorph listed for this composition, the calculation gives 3.4 kJ per mole of atoms. The formation energy comes out at 54 meV per atom. The total magnetic moment comes out at 1.253 μB/atom. The total energy is -5.472 eV per atom.

Cell and atoms, written as POSCAR:
```
CrCdPt
1.0
4.5063 0.0000 0.0000
-2.2532 3.9026 0.0000
0.0000 0.0000 2.9384
Cd Cr Pt
1 1 1
direct
0.0000 0.0000 0.9999 Cd
0.3333 0.6667 0.4992 Cr
0.6667 0.3333 0.5009 Pt
```


Entry 7:
KVCd | PBE-GGA | relaxed

Output
For the energy relative to the lowest polymorph listed for this composition, the calculation gives 45.8 kJ per mole of atoms. The formation energy comes out at 792 meV per atom. The total magnetic moment comes out at 1.267 μB/atom. The total energy is -2.918 eV per atom.

Cell and atoms, written as POSCAR:
```
KVCd
1.0
5.4980 0.0000 0.0000
0.0000 5.4980 0.0000
0.0000 0.0000 6.8156
K Cd V
2 2 2
direct
0.0000 0.5000 0.9060 K
0.5000 0.0000 0.0940 K
0.0000 0.0000 0.5000 Cd
0.5000 0.5000 0.5000 Cd
0.0000 0.5000 0.4303 V
0.5000 0.0000 0.5697 V
```


Entry 8:
TlCo4Cu | PBE-GGA | relaxed

Output
The formation energy comes out at 371 meV per atom. The total magnetic moment comes out at 1.024 μB/atom. The total energy is -5.443 eV per atom.

Cell and atoms, written as POSCAR:
```
TlCo4Cu
1.0
0.0000 3.4236 3.4236
3.4236 0.0000 3.4236
3.4236 3.4236 0.0000
Tl Co Cu
1 4 1
direct
0.0000 0.0000 0.0000 Tl
0.8727 0.3757 0.3757 Co
0.3757 0.3757 0.8727 Co
0.3757 0.8727 0.3757 Co
0.3757 0.3757 0.3757 Co
0.7500 0.7500 0.7500 Cu
```


Entry 9:
Dy3Pu2TaN6 | PBE-GGA | relaxed

Output
The value obtained for the formation energy (no corrections) is -17.51 eV/f.u. The total magnetic moment comes out at 0.805 μB/atom. The total energy is -10.148 eV per atom.

Cell and atoms, written as POSCAR:
```
Dy3Pu2TaN6
1.0
-5.7470 1.2944 -0.2500
1.7383 -5.3346 1.8127
1.5181 3.1741 4.6918
Dy Pu Ta N
3 2 1 6
direct
0.1659 0.8341 0.5000 Dy
0.8341 0.1659 0.5000 Dy
0.5000 0.5000 0.5000 Dy
0.3336 0.6664 0.0000 Pu
0.6664 0.3336 0.0000 Pu
0.0000 0.0000 0.0000 Ta
0.9231 0.6096 0.7697 N
0.7640 0.7640 0.2351 N
0.0769 0.3904 0.2303 N
0.6096 0.9231 0.7697 N
0.2360 0.2360 0.7649 N
0.3904 0.0769 0.2303 N
```


Entry 10:
Sm4Dy10Y | PBE-GGA | relaxed

Output
The formation energy comes out at 569 meV per atom. The total magnetic moment comes out at 0.000 μB/atom. The total energy is -4.188 eV per atom.

Cell and atoms, written as POSCAR:
```
Sm4Dy10Y
1.0
-4.2819 0.6924 4.7695
-8.6260 -3.3429 -2.9017
0.0205 -7.9626 5.5316
Sm Dy Y
4 10 1
direct
0.4327 0.8970 0.2375 Sm
0.6702 0.7625 0.8970 Sm
0.3298 0.2375 0.1030 Sm
0.5673 0.1030 0.7625 Sm
0.2500 0.5000 0.5000 Dy
0.6222 0.4221 0.8362 Dy
0.9557 0.1638 0.4221 Dy
0.5416 0.8362 0.5779 Dy
0.8805 0.5779 0.1638 Dy
0.3778 0.5779 0.1638 Dy
0.7500 0.5000 0.5000 Dy
0.1195 0.4221 0.8362 Dy
0.4584 0.1638 0.4221 Dy
0.0443 0.8362 0.5779 Dy
0.0000 0.0000 0.0000 Y
```